# Y2PbCl PBE optimized geometry
data_Y2PbCl
_chemical_formula_sum 'Y2 Pb1 Cl1'
_cell_length_a 6.3197
_cell_length_b 6.3197
_cell_length_c 4.8548
_cell_angle_alpha 89.98
_cell_angle_beta 89.98
_cell_angle_gamma 34.38
_space_group_name_H-M_alt 'P 1'
_space_group_IT_number 1
loop_
_space_group_symop_operation_xyz
'x,y,z'
loop_
_atom_site_label
_atom_site_type_symbol
_atom_site_fract_x
_atom_site_fract_y
_atom_site_fract_z
_atom_site_occupancy
Cl1 Cl 0.5052 0.5052 0.6246 1
Pb1 Pb 0.2722 0.2722 0.1254 1
Y1 Y 0.9995 0.9995 0.1246 1
Y2 Y 0.7231 0.7231 0.6254 1
# * formation energy from raw total energies: -0.829 eV per atom
# * magnetization: 0.0 μB/f.u.


# Y2PbCl PBE optimized geometry
data_Y2PbCl
_chemical_formula_sum 'Y2 Pb1 Cl1'
_cell_length_a 3.7089
_cell_length_b 6.4656
_cell_length_c 4.8314
_cell_angle_alpha 90.00
_cell_angle_beta 90.00
_cell_angle_gamma 90.00
_space_group_name_H-M_alt 'P 1'
_space_group_IT_number 1
loop_
_space_group_symop_operation_xyz
'x,y,z'
loop_
_atom_site_label
_atom_site_type_symbol
_atom_site_fract_x
_atom_site_fract_y
_atom_site_fract_z
_atom_site_occupancy
Cl1 Cl 0.5000 0.0000 0.5000 1
Pb1 Pb 0.0000 0.5000 0.5000 1
Y1 Y 0.0000 0.0000 0.0000 1
Y2 Y 0.5000 0.5000 0.0000 1
# * formation energy from raw total energies: -0.577 eV per atom
# * magnetization: 0.0 μB/f.u.


# YPb2Cl PBE optimized geometry
data_YPb2Cl
_chemical_formula_sum 'Y1 Pb2 Cl1'
_cell_length_a 5.3029
_cell_length_b 6.5840
_cell_length_c 3.7360
_cell_angle_alpha 76.35
_cell_angle_beta 83.19
_cell_angle_gamma 111.66
_space_group_name_H-M_alt 'P 1'
_space_group_IT_number 1
loop_
_space_group_symop_operation_xyz
'x,y,z'
loop_
_atom_site_label
_atom_site_type_symbol
_atom_site_fract_x
_atom_site_fract_y
_atom_site_fract_z
_atom_site_occupancy
Cl1 Cl 0.5000 0.5000 0.0000 1
Pb1 Pb 0.0000 0.0000 0.0000 1
Pb2 Pb 0.5000 0.0000 0.5000 1
Y1 Y 0.0000 0.5000 0.5000 1
# * formation energy from raw total energies: -0.430 eV per atom
# * magnetization: 0.0 μB/f.u.


# YPbCl4 PBE optimized geometry
data_YPbCl4
_chemical_formula_sum 'Y1 Pb1 Cl4'
_cell_length_a 5.9452
_cell_length_b 5.9452
_cell_length_c 5.9452
_cell_angle_alpha 60.00
_cell_angle_beta 60.00
_cell_angle_gamma 60.00
_space_group_name_H-M_alt 'P 1'
_space_group_IT_number 1
loop_
_space_group_symop_operation_xyz
'x,y,z'
loop_
_atom_site_label
_atom_site_type_symbol
_atom_site_fract_x
_atom_site_fract_y
_atom_site_fract_z
_atom_site_occupancy
Y1 Y 0.0000 0.0000 0.0000 1
Pb1 Pb 0.7500 0.7500 0.7500 1
Cl1 Cl 0.8769 0.3744 0.3744 1
Cl2 Cl 0.3744 0.3744 0.8769 1
Cl3 Cl 0.3744 0.8769 0.3744 1
Cl4 Cl 0.3744 0.3744 0.3744 1
# * formation energy from raw total energies: -0.261 eV per atom
# * magnetization: 0.6 μB/f.u.


# Y2PbCl PBE optimized geometry
data_Y2PbCl
_chemical_formula_sum 'Y2 Pb1 Cl1'
_cell_length_a 3.4816
_cell_length_b 4.2118
_cell_length_c 7.9984
_cell_angle_alpha 89.96
_cell_angle_beta 90.00
_cell_angle_gamma 90.00
_space_group_name_H-M_alt 'P 1'
_space_group_IT_number 1
loop_
_space_group_symop_operation_xyz
'x,y,z'
loop_
_atom_site_label
_atom_site_type_symbol
_atom_site_fract_x
_atom_site_fract_y
_atom_site_fract_z
_atom_site_occupancy
Cl1 Cl 0.5000 0.2500 0.2500 1
Pb1 Pb 0.5000 0.7500 0.7500 1
Y1 Y 0.0000 0.2497 0.9706 1
Y2 Y 0.0000 0.2503 0.5294 1
# * formation energy from raw total energies: -0.873 eV per atom
# * magnetization: 0.0 μB/f.u.


# YPb2Cl PBE optimized geometry
data_YPb2Cl
_chemical_formula_sum 'Y1 Pb2 Cl1'
_cell_length_a 3.6108
_cell_length_b 3.6108
_cell_length_c 9.2352
_cell_angle_alpha 90.00
_cell_angle_beta 90.00
_cell_angle_gamma 90.00
_space_group_name_H-M_alt 'P 1'
_space_group_IT_number 1
loop_
_space_group_symop_operation_xyz
'x,y,z'
loop_
_atom_site_label
_atom_site_type_symbol
_atom_site_fract_x
_atom_site_fract_y
_atom_site_fract_z
_atom_site_occupancy
Cl1 Cl 0.5000 0.5000 0.6666 1
Pb1 Pb 0.0000 0.0000 0.0482 1
Pb2 Pb 0.5000 0.5000 0.2751 1
Y1 Y 0.0000 0.0000 0.5101 1
# * formation energy from raw total energies: -0.679 eV per atom
# * magnetization: 0.0 μB/f.u.


# YPb2Cl PBE optimized geometry
data_YPb2Cl
_chemical_formula_sum 'Y1 Pb2 Cl1'
_cell_length_a 8.0159
_cell_length_b 8.0159
_cell_length_c 8.0159
_cell_angle_alpha 155.39
_cell_angle_beta 146.51
_cell_angle_gamma 42.00
_space_group_name_H-M_alt 'P 1'
_space_group_IT_number 1
loop_
_space_group_symop_operation_xyz
'x,y,z'
loop_
_atom_site_label
_atom_site_type_symbol
_atom_site_fract_x
_atom_site_fract_y
_atom_site_fract_z
_atom_site_occupancy
Cl1 Cl 0.7500 0.2500 0.5000 1
Pb1 Pb 0.0523 0.0523 0.0000 1
Pb2 Pb 0.4477 0.4477 0.0000 1
Y1 Y 0.2500 0.7500 0.5000 1
# * formation energy from raw total energies: -0.654 eV per atom
# * magnetization: 0.0 μB/f.u.


# Y2PbCl PBE optimized geometry
data_Y2PbCl
_chemical_formula_sum 'Y2 Pb1 Cl1'
_cell_length_a 6.6053
_cell_length_b 6.6053
_cell_length_c 6.6053
_cell_angle_alpha 141.52
_cell_angle_beta 141.52
_cell_angle_gamma 55.56
_space_group_name_H-M_alt 'P 1'
_space_group_IT_number 1
loop_
_space_group_symop_operation_xyz
'x,y,z'
loop_
_atom_site_label
_atom_site_type_symbol
_atom_site_fract_x
_atom_site_fract_y
_atom_site_fract_z
_atom_site_occupancy
Cl1 Cl 0.5000 0.5000 0.0000 1
Pb1 Pb 0.7500 0.2500 0.5000 1
Y1 Y 0.0000 0.0000 0.0000 1
Y2 Y 0.2500 0.7500 0.5000 1
# * formation energy from raw total energies: -0.587 eV per atom
# * magnetization: 0.9 μB/f.u.


# YPbCl PBE optimized geometry
data_YPbCl
_chemical_formula_sum 'Y1 Pb1 Cl1'
_cell_length_a 3.7436
_cell_length_b 3.7436
_cell_length_c 8.0014
_cell_angle_alpha 90.00
_cell_angle_beta 90.00
_cell_angle_gamma 120.00
_space_group_name_H-M_alt 'P 1'
_space_group_IT_number 1
loop_
_space_group_symop_operation_xyz
'x,y,z'
loop_
_atom_site_label
_atom_site_type_symbol
_atom_site_fract_x
_atom_site_fract_y
_atom_site_fract_z
_atom_site_occupancy
Cl1 Cl 0.0000 0.0000 0.9140 1
Pb1 Pb 0.6667 0.3333 0.3869 1
Y1 Y 0.3333 0.6667 0.6990 1
# * formation energy from raw total energies: -1.000 eV per atom
# * magnetization: 0.0 μB/f.u.


# YPb2Cl PBE optimized geometry
data_YPb2Cl
_chemical_formula_sum 'Y2 Pb4 Cl2'
_cell_length_a 10.4838
_cell_length_b 10.4838
_cell_length_c 7.8542
_cell_angle_alpha 48.13
_cell_angle_beta 48.13
_cell_angle_gamma 90.00
_space_group_name_H-M_alt 'P 1'
_space_group_IT_number 1
loop_
_space_group_symop_operation_xyz
'x,y,z'
loop_
_atom_site_label
_atom_site_type_symbol
_atom_site_fract_x
_atom_site_fract_y
_atom_site_fract_z
_atom_site_occupancy
Pb1 Pb 0.7022 0.1250 0.2500 1
Pb2 Pb 0.0478 0.6250 0.2500 1
Pb3 Pb 0.3750 0.2978 0.7500 1
Pb4 Pb 0.8750 0.9522 0.7500 1
Y1 Y 0.0000 0.0000 0.0000 1
Y2 Y 0.7500 0.2500 0.5000 1
Cl1 Cl 0.5000 0.5000 0.0000 1
Cl2 Cl 0.2500 0.7500 0.5000 1
# * formation energy from raw total energies: -0.438 eV per atom
# * magnetization: 0.0 μB/f.u.


# YPbCl PBE optimized geometry
data_YPbCl
_chemical_formula_sum 'Y1 Pb1 Cl1'
_cell_length_a 5.2705
_cell_length_b 5.2705
_cell_length_c 5.2705
_cell_angle_alpha 60.00
_cell_angle_beta 60.00
_cell_angle_gamma 60.00
_space_group_name_H-M_alt 'P 1'
_space_group_IT_number 1
loop_
_space_group_symop_operation_xyz
'x,y,z'
loop_
_atom_site_label
_atom_site_type_symbol
_atom_site_fract_x
_atom_site_fract_y
_atom_site_fract_z
_atom_site_occupancy
Cl1 Cl 0.5000 0.5000 0.5000 1
Pb1 Pb 0.7500 0.7500 0.7500 1
Y1 Y 0.0000 0.0000 0.0000 1
# * formation energy from raw total energies: -0.041 eV per atom
# * magnetization: 0.9 μB/f.u.


# Y2PbCl PBE optimized geometry
data_Y2PbCl
_chemical_formula_sum 'Y2 Pb1 Cl1'
_cell_length_a 5.3416
_cell_length_b 3.9377
_cell_length_c 5.3416
_cell_angle_alpha 89.98
_cell_angle_beta 90.00
_cell_angle_gamma 90.00
_space_group_name_H-M_alt 'P 1'
_space_group_IT_number 1
loop_
_space_group_symop_operation_xyz
'x,y,z'
loop_
_atom_site_label
_atom_site_type_symbol
_atom_site_fract_x
_atom_site_fract_y
_atom_site_fract_z
_atom_site_occupancy
Cl1 Cl 0.0000 0.2500 0.3749 1
Pb1 Pb 0.5000 0.7500 0.8752 1
Y1 Y 0.0000 0.2501 0.8749 1
Y2 Y 0.5000 0.2500 0.3750 1
# * formation energy from raw total energies: -0.965 eV per atom
# * magnetization: 0.0 μB/f.u.


# YPb2Cl PBE optimized geometry
data_YPb2Cl
_chemical_formula_sum 'Y1 Pb2 Cl1'
_cell_length_a 3.5535
_cell_length_b 5.3400
_cell_length_c 7.9056
_cell_angle_alpha 47.64
_cell_angle_beta 90.00
_cell_angle_gamma 90.00
_space_group_name_H-M_alt 'P 1'
_space_group_IT_number 1
loop_
_space_group_symop_operation_xyz
'x,y,z'
loop_
_atom_site_label
_atom_site_type_symbol
_atom_site_fract_x
_atom_site_fract_y
_atom_site_fract_z
_atom_site_occupancy
Cl1 Cl 0.0000 0.0000 0.5000 1
Pb1 Pb 0.0000 0.0000 0.0000 1
Pb2 Pb 0.5000 0.5000 0.0000 1
Y1 Y 0.5000 0.5000 0.5000 1
# * formation energy from raw total energies: -0.495 eV per atom
# * magnetization: 0.0 μB/f.u.


# ZnPb2Cl PBE optimized geometry
data_ZnPb2Cl
_chemical_formula_sum 'Zn1 Pb2 Cl1'
_cell_length_a 5.2568
_cell_length_b 5.2568
_cell_length_c 5.2568
_cell_angle_alpha 60.00
_cell_angle_beta 60.00
_cell_angle_gamma 60.00
_space_group_name_H-M_alt 'P 1'
_space_group_IT_number 1
loop_
_space_group_symop_operation_xyz
'x,y,z'
loop_
_atom_site_label
_atom_site_type_symbol
_atom_site_fract_x
_atom_site_fract_y
_atom_site_fract_z
_atom_site_occupancy
Pb1 Pb 0.2500 0.2500 0.2500 1
Pb2 Pb 0.7500 0.7500 0.7500 1
Zn1 Zn 0.5000 0.5000 0.5000 1
Cl1 Cl 0.0000 0.0000 0.0000 1
# * formation energy from raw total energies: -0.055 eV per atom
# * magnetization: 0.0 μB/f.u.


# ZnPb2Cl PBE optimized geometry
data_ZnPb2Cl
_chemical_formula_sum 'Zn2 Pb4 Cl2'
_cell_length_a 6.3624
_cell_length_b 6.3624
_cell_length_c 8.3825
_cell_angle_alpha 67.70
_cell_angle_beta 67.70
_cell_angle_gamma 90.00
_space_group_name_H-M_alt 'P 1'
_space_group_IT_number 1
loop_
_space_group_symop_operation_xyz
'x,y,z'
loop_
_atom_site_label
_atom_site_type_symbol
_atom_site_fract_x
_atom_site_fract_y
_atom_site_fract_z
_atom_site_occupancy
Pb1 Pb 0.6589 0.1250 0.2500 1
Pb2 Pb 0.0911 0.6250 0.2500 1
Pb3 Pb 0.3750 0.3411 0.7500 1
Pb4 Pb 0.8750 0.9089 0.7500 1
Zn1 Zn 0.0000 0.0000 0.0000 1
Zn2 Zn 0.7500 0.2500 0.5000 1
Cl1 Cl 0.5000 0.5000 0.0000 1
Cl2 Cl 0.2500 0.7500 0.5000 1
# * formation energy from raw total energies: 0.058 eV per atom
# * magnetization: 0.0 μB/f.u.